Computed, not measured: an optimized crystal structure of Hf2CuP at the PBE level of DFT.

Properties
- Uncorrected energy: -60.938 eV/cell
- ΔE_f: -0.2641 eV/atom
- N(E_F): 1.006 states/eV per atom
- Space group: I-42d (122)
- Total magnetic moment: 0.0 μB/f.u.

Structure (extended XYZ):
```
8
Lattice="7.010 0.000 0.000 0.000 7.010 0.000 3.505 3.505 2.966" Properties=species:S:1:pos:R:3 pbc="T T T"
P 3.505 3.505 0.000
P 3.505 7.010 1.483
Hf 5.213 1.753 0.742
Hf 1.797 5.258 0.742
Hf 5.258 5.302 2.225
Hf 8.763 8.718 2.225
Cu 0.000 0.000 0.000
Cu 7.010 3.505 1.483
```